The following is a DFT calculation (PBE) of crystalline TiHgAu at its relaxed geometry. Values from VASP.

## Properties
Calculated volume: 18.81 A^3/atom
Energy relative to the elements: -0.1617 eV/atom
SG: I4mm, No. 107
DFT total energy: -12.0 eV for the cell shown
Magnetization: 0.96 μB/cell

Structure (Quantum ESPRESSO input):
```
&SYSTEM
  ibrav = 0, nat = 3, ntyp = 3
/
ATOMIC_SPECIES
Hg 200.59 Hg.upf
Au 196.97 Au.upf
Ti 47.87 Ti.upf
CELL_PARAMETERS angstrom
3.083 0.000 0.000
0.000 3.083 0.000
-1.542 -1.542 5.937
ATOMIC_POSITIONS angstrom
Hg 0.000 0.000 0.057
Au 0.000 0.000 3.802
Ti 1.542 1.542 2.077
```

---

The following is a DFT calculation (PBE) of crystalline TiHgAu3 at its relaxed geometry. Values from VASP.

## Properties
Calculated volume: 26.14 A^3/atom
Energy relative to the elements: 0.5618 eV/atom
SG: Pm-3m, No. 221
DFT total energy: -15.2 eV for the cell shown
Magnetization: 0.85 μB/cell

Structure (Quantum ESPRESSO input):
```
&SYSTEM
  ibrav = 0, nat = 5, ntyp = 3
/
ATOMIC_SPECIES
Au 196.97 Au.upf
Hg 200.59 Hg.upf
Ti 47.87 Ti.upf
CELL_PARAMETERS angstrom
5.075 0.000 0.000
0.000 5.075 0.000
0.000 0.000 5.075
ATOMIC_POSITIONS angstrom
Au 0.000 2.538 0.000
Au 0.000 0.000 2.538
Au 2.538 0.000 0.000
Hg 2.538 2.538 2.538
Ti 0.000 0.000 0.000
```

---

The following is a DFT calculation (PBE) of crystalline TiHg2Au at its relaxed geometry. Values from VASP.

## Properties
Calculated volume: 21.87 A^3/atom
Energy relative to the elements: 0.2336 eV/atom
SG: I-42d, No. 122
DFT total energy: -21.7 eV for the cell shown
Magnetization: 2.49 μB/cell

Structure (Quantum ESPRESSO input):
```
&SYSTEM
  ibrav = 0, nat = 8, ntyp = 3
/
ATOMIC_SPECIES
Au 196.97 Au.upf
Hg 200.59 Hg.upf
Ti 47.87 Ti.upf
CELL_PARAMETERS angstrom
-3.914 2.916 6.025
5.599 -2.398 4.798
2.219 2.801 5.075
ATOMIC_POSITIONS angstrom
Au 0.000 0.000 0.000
Au -0.426 2.988 8.256
Hg -1.181 2.215 5.618
Hg 3.554 -0.426 5.037
Hg 2.311 2.289 7.878
Hg 3.124 2.561 13.264
Ti 0.842 0.259 5.411
Ti 4.330 0.331 7.643
```

---

The following is a DFT calculation (PBE) of crystalline TiHgAu at its relaxed geometry. Values from VASP.

## Properties
Calculated volume: 18.63 A^3/atom
Energy relative to the elements: -0.0669 eV/atom
SG: P-6m2, No. 187
DFT total energy: -11.7 eV for the cell shown
Magnetization: 0.00 μB/cell

Structure (Quantum ESPRESSO input):
```
&SYSTEM
  ibrav = 0, nat = 3, ntyp = 3
/
ATOMIC_SPECIES
Au 196.97 Au.upf
Hg 200.59 Hg.upf
Ti 47.87 Ti.upf
CELL_PARAMETERS angstrom
-2.714 0.756 -0.648
-1.612 -3.765 2.357
0.609 4.112 2.248
ATOMIC_POSITIONS angstrom
Au -0.454 0.126 -0.108
Hg -1.323 -1.014 2.213
Ti -1.940 1.990 1.852
```

---

The following is a DFT calculation (PBE) of crystalline TiHg2Au at its relaxed geometry. Values from VASP.

## Properties
Calculated volume: 19.26 A^3/atom
Energy relative to the elements: 0.0515 eV/atom
SG: Fm-3m, No. 225
DFT total energy: -11.6 eV for the cell shown
Magnetization: 0.00 μB/cell

Structure (Quantum ESPRESSO input):
```
&SYSTEM
  ibrav = 0, nat = 4, ntyp = 3
/
ATOMIC_SPECIES
Au 196.97 Au.upf
Hg 200.59 Hg.upf
Ti 47.87 Ti.upf
CELL_PARAMETERS angstrom
0.000 3.377 3.377
3.377 0.000 3.377
3.377 3.377 0.000
ATOMIC_POSITIONS angstrom
Au 3.377 3.377 3.377
Hg 1.689 1.689 1.689
Hg 5.066 5.066 5.066
Ti 0.000 0.000 0.000
```

---

The following is a DFT calculation (PBE) of crystalline TiHgAu3 at its relaxed geometry. Values from VASP.

## Properties
Calculated volume: 26.68 A^3/atom
Energy relative to the elements: 1.0105 eV/atom
SG: Pm-3m, No. 221
DFT total energy: -13.0 eV for the cell shown
Magnetization: 0.00 μB/cell

Structure (Quantum ESPRESSO input):
```
&SYSTEM
  ibrav = 0, nat = 5, ntyp = 3
/
ATOMIC_SPECIES
Au 196.97 Au.upf
Hg 200.59 Hg.upf
Ti 47.87 Ti.upf
CELL_PARAMETERS angstrom
5.109 0.000 0.000
0.000 5.109 0.000
0.000 0.000 5.109
ATOMIC_POSITIONS angstrom
Au 0.000 2.555 0.000
Au 0.000 0.000 2.555
Au 2.555 0.000 0.000
Hg 0.000 0.000 0.000
Ti 2.555 2.555 2.555
```

---

The following is a DFT calculation (PBE) of crystalline Ti2HgAu2 at its relaxed geometry. Values from VASP.

## Properties
Calculated volume: 20.31 A^3/atom
Energy relative to the elements: 0.0339 eV/atom
SG: I4/mmm, No. 139
DFT total energy: -22.5 eV for the cell shown
Magnetization: 0.00 μB/cell

Structure (Quantum ESPRESSO input):
```
&SYSTEM
  ibrav = 0, nat = 5, ntyp = 3
/
ATOMIC_SPECIES
Au 196.97 Au.upf
Hg 200.59 Hg.upf
Ti 47.87 Ti.upf
CELL_PARAMETERS angstrom
-3.898 1.174 0.345
-0.666 -3.002 2.690
-0.754 2.823 6.066
ATOMIC_POSITIONS angstrom
Au -1.949 -0.099 2.510
Au -3.370 1.093 6.591
Hg 0.000 0.000 0.000
Ti -3.467 1.542 3.965
Ti -1.851 -0.547 5.137
```

---

The following is a DFT calculation (PBE) of crystalline TmTiHgAu at its relaxed geometry. Values from VASP.

## Properties
Calculated volume: 21.01 A^3/atom
Energy relative to the elements: -0.3506 eV/atom
SG: F-43m, No. 216
DFT total energy: -17.3 eV for the cell shown
Magnetization: 1.52 μB/cell

Structure (Quantum ESPRESSO input):
```
&SYSTEM
  ibrav = 0, nat = 4, ntyp = 4
/
ATOMIC_SPECIES
Tm 168.93 Tm.upf
Au 196.97 Au.upf
Hg 200.59 Hg.upf
Ti 47.87 Ti.upf
CELL_PARAMETERS angstrom
4.917 0.000 0.000
2.458 4.258 0.000
2.458 1.419 4.014
ATOMIC_POSITIONS angstrom
Tm 7.375 4.258 3.011
Au 0.000 0.000 0.000
Hg 4.917 2.839 2.007
Ti 2.458 1.419 1.004
```

---

The following is a DFT calculation (PBE) of crystalline YTiHg2Au at its relaxed geometry. Values from VASP.

## Properties
Calculated volume: 26.42 A^3/atom
Energy relative to the elements: 0.1997 eV/atom
SG: P4/mmm, No. 123
DFT total energy: -17.2 eV for the cell shown
Magnetization: 0.86 μB/cell

Structure (Quantum ESPRESSO input):
```
&SYSTEM
  ibrav = 0, nat = 5, ntyp = 4
/
ATOMIC_SPECIES
Y 88.91 Y.upf
Au 196.97 Au.upf
Hg 200.59 Hg.upf
Ti 47.87 Ti.upf
CELL_PARAMETERS angstrom
5.206 0.000 0.000
0.000 4.873 0.000
0.000 0.000 5.206
ATOMIC_POSITIONS angstrom
Y 2.603 2.436 2.603
Au 0.000 2.436 0.000
Hg 0.000 0.000 2.603
Hg 2.603 0.000 0.000
Ti 0.000 0.000 0.000
```

---

The following is a DFT calculation (PBE) of crystalline ZrTiHgAu at its relaxed geometry. Values from VASP.

## Properties
Calculated volume: 19.40 A^3/atom
Energy relative to the elements: -0.2492 eV/atom
SG: P4mm, No. 99
DFT total energy: -21.0 eV for the cell shown
Magnetization: 0.47 μB/cell

Structure (Quantum ESPRESSO input):
```
&SYSTEM
  ibrav = 0, nat = 4, ntyp = 4
/
ATOMIC_SPECIES
Zr 91.22 Zr.upf
Ti 47.87 Ti.upf
Hg 200.59 Hg.upf
Au 196.97 Au.upf
CELL_PARAMETERS angstrom
-2.727 0.648 1.333
0.716 -1.869 2.373
3.368 6.206 3.873
ATOMIC_POSITIONS angstrom
Zr 0.270 0.497 0.310
Ti 1.886 3.475 2.168
Hg 1.715 4.402 4.981
Au 0.129 1.481 3.158
```

---

The following is a DFT calculation (PBE) of crystalline Tl3Hg2Au at its relaxed geometry. Values from VASP.

## Properties
Calculated volume: 27.98 A^3/atom
Energy relative to the elements: -0.0144 eV/atom
SG: Pnma, No. 62
DFT total energy: -44.3 eV for the cell shown
Magnetization: 0.00 μB/cell

Structure (Quantum ESPRESSO input):
```
&SYSTEM
  ibrav = 0, nat = 24, ntyp = 3
/
ATOMIC_SPECIES
Tl 204.38 Tl.upf
Hg 200.59 Hg.upf
Au 196.97 Au.upf
CELL_PARAMETERS angstrom
-2.490 -1.506 -2.984
4.000 -11.979 2.706
-9.225 -1.204 8.308
ATOMIC_POSITIONS angstrom
Tl -0.027 -3.819 0.494
Tl -7.689 -10.870 7.536
Tl -2.823 -11.025 3.553
Tl -4.892 -3.664 4.477
Tl 0.439 -8.681 2.559
Tl -8.154 -6.008 5.471
Tl -4.138 -3.618 0.913
Tl -3.577 -11.071 7.117
Tl -1.810 -5.484 2.823
Tl -5.905 -9.205 5.207
Tl -0.123 -12.105 1.844
Tl -7.592 -2.584 6.186
Hg -2.788 -8.111 4.964
Hg -4.927 -6.579 3.065
Hg -1.546 -2.288 -1.922
Hg -6.169 -12.401 9.952
Hg -0.466 -12.583 5.282
Hg -7.250 -2.107 2.748
Hg -0.813 -6.967 -0.172
Hg -6.902 -7.722 8.202
Au -1.995 -1.461 0.947
Au -5.720 -13.228 7.083
Au -2.528 -8.372 1.968
Au -5.187 -6.318 6.062
```

---

The following is a DFT calculation (PBE) of crystalline Tl4Hg3Au2 at its relaxed geometry. Values from VASP.

## Properties
Calculated volume: 27.65 A^3/atom
Energy relative to the elements: -0.0055 eV/atom
SG: C2/m, No. 12
DFT total energy: -17.0 eV for the cell shown
Magnetization: 0.00 μB/cell

Structure (Quantum ESPRESSO input):
```
&SYSTEM
  ibrav = 0, nat = 9, ntyp = 3
/
ATOMIC_SPECIES
Tl 204.38 Tl.upf
Hg 200.59 Hg.upf
Au 196.97 Au.upf
CELL_PARAMETERS angstrom
4.260 0.000 -1.175
-0.601 7.091 -2.181
-0.018 -0.021 8.249
ATOMIC_POSITIONS angstrom
Tl 0.540 5.147 1.959
Tl 3.101 1.924 2.934
Tl 1.931 6.034 -1.308
Tl 1.710 1.036 6.201
Hg 0.338 1.278 1.226
Hg 3.303 5.792 3.667
Hg -0.301 3.546 -1.090
Au 1.260 3.724 4.570
Au 2.381 3.346 0.323
```

---

The following is a DFT calculation (PBE) of crystalline TlHg4Au2 at its relaxed geometry. Values from VASP.

## Properties
Calculated volume: 25.55 A^3/atom
Energy relative to the elements: 0.0377 eV/atom
SG: Cmmm, No. 65
DFT total energy: -9.9 eV for the cell shown
Magnetization: 0.00 μB/cell

Structure (Quantum ESPRESSO input):
```
&SYSTEM
  ibrav = 0, nat = 7, ntyp = 3
/
ATOMIC_SPECIES
Tl 204.38 Tl.upf
Hg 200.59 Hg.upf
Au 196.97 Au.upf
CELL_PARAMETERS angstrom
-1.809 -4.016 -0.746
3.750 -1.928 1.288
-4.922 0.748 7.906
ATOMIC_POSITIONS angstrom
Tl 0.000 0.000 0.000
Hg -0.976 -3.110 5.732
Hg 0.793 -1.041 3.681
Hg -2.005 -2.086 2.716
Hg -1.965 -0.139 5.513
Au 0.521 -3.004 1.532
Au -3.502 -2.192 6.916
```

---

The following is a DFT calculation (PBE) of crystalline Tl5Hg4Au at its relaxed geometry. Values from VASP.

## Properties
Calculated volume: 28.24 A^3/atom
Energy relative to the elements: -0.0150 eV/atom
SG: P4/mmm, No. 123
DFT total energy: -16.5 eV for the cell shown
Magnetization: 0.00 μB/cell

Structure (Quantum ESPRESSO input):
```
&SYSTEM
  ibrav = 0, nat = 10, ntyp = 3
/
ATOMIC_SPECIES
Tl 204.38 Tl.upf
Hg 200.59 Hg.upf
Au 196.97 Au.upf
CELL_PARAMETERS angstrom
3.715 0.000 0.000
0.000 3.715 0.000
0.000 0.000 20.463
ATOMIC_POSITIONS angstrom
Tl 1.857 1.857 1.738
Tl 1.857 1.857 6.067
Tl 1.857 1.857 10.232
Tl 1.857 1.857 14.396
Tl 1.857 1.857 18.725
Hg 0.000 0.000 3.921
Hg 0.000 0.000 8.130
Hg 0.000 0.000 12.334
Hg 0.000 0.000 16.542
Au 0.000 0.000 0.000
```

---

The following is a DFT calculation (PBE) of crystalline TlHgAu2 at its relaxed geometry. Values from VASP.

## Properties
Calculated volume: 22.16 A^3/atom
Energy relative to the elements: 0.1208 eV/atom
SG: Fm-3m, No. 225
DFT total energy: -8.7 eV for the cell shown
Magnetization: 0.00 μB/cell

Structure (Quantum ESPRESSO input):
```
&SYSTEM
  ibrav = 0, nat = 4, ntyp = 3
/
ATOMIC_SPECIES
Tl 204.38 Tl.upf
Au 196.97 Au.upf
Hg 200.59 Hg.upf
CELL_PARAMETERS angstrom
-0.404 3.268 3.769
-4.297 0.372 2.540
-0.268 -1.644 4.720
ATOMIC_POSITIONS angstrom
Tl -2.484 0.998 5.514
Au -1.242 0.499 2.757
Au -3.727 1.498 8.271
Hg 0.000 0.000 0.000
```

---

The following is a DFT calculation (PBE) of crystalline Tl6Hg2Au3 at its relaxed geometry. Values from VASP.

## Properties
Calculated volume: 29.46 A^3/atom
Energy relative to the elements: -0.0053 eV/atom
SG: C2/m, No. 12
DFT total energy: -24.7 eV for the cell shown
Magnetization: 0.00 μB/cell

Structure (Quantum ESPRESSO input):
```
&SYSTEM
  ibrav = 0, nat = 11, ntyp = 3
/
ATOMIC_SPECIES
Tl 204.38 Tl.upf
Hg 200.59 Hg.upf
Au 196.97 Au.upf
CELL_PARAMETERS angstrom
-5.329 0.856 -4.813
-3.497 -4.775 -2.410
-6.968 1.111 5.102
ATOMIC_POSITIONS angstrom
Tl -9.966 -2.065 0.049
Tl -9.433 1.508 0.743
Tl -6.992 -0.561 2.457
Tl -2.865 0.458 -0.454
Tl -5.828 -0.744 -2.170
Tl -8.802 -2.248 -4.578
Hg -6.737 -2.696 0.142
Hg -9.057 -0.113 -2.263
Au 0.000 0.000 0.000
Au -3.030 -1.857 -2.408
Au -5.796 -2.063 -4.815
```

---

The following is a DFT calculation (PBE) of crystalline TlHg5Au2 at its relaxed geometry. Values from VASP.

## Properties
Calculated volume: 25.44 A^3/atom
Energy relative to the elements: 0.0312 eV/atom
SG: C2/m, No. 12
DFT total energy: -10.2 eV for the cell shown
Magnetization: 0.00 μB/cell

Structure (Quantum ESPRESSO input):
```
&SYSTEM
  ibrav = 0, nat = 8, ntyp = 3
/
ATOMIC_SPECIES
Tl 204.38 Tl.upf
Hg 200.59 Hg.upf
Au 196.97 Au.upf
CELL_PARAMETERS angstrom
-3.806 -1.772 -0.931
-2.544 -1.969 6.336
-4.632 5.279 1.080
ATOMIC_POSITIONS angstrom
Tl 0.000 0.000 0.000
Hg -3.588 1.655 3.708
Hg -6.291 3.020 3.436
Hg -4.691 -1.482 3.048
Hg -5.529 1.428 0.938
Hg -5.453 0.110 5.546
Au -2.867 0.123 1.308
Au -8.115 1.415 5.176
```

---

The following is a DFT calculation (PBE) of crystalline TlHgAu2 at its relaxed geometry. Values from VASP.

## Properties
Calculated volume: 24.88 A^3/atom
Energy relative to the elements: 0.0924 eV/atom
SG: R3m, No. 160
DFT total energy: -8.9 eV for the cell shown
Magnetization: 0.00 μB/cell

Structure (Quantum ESPRESSO input):
```
&SYSTEM
  ibrav = 0, nat = 4, ntyp = 3
/
ATOMIC_SPECIES
Tl 204.38 Tl.upf
Hg 200.59 Hg.upf
Au 196.97 Au.upf
CELL_PARAMETERS angstrom
4.192 0.000 0.000
2.096 3.630 0.000
2.096 1.210 6.539
ATOMIC_POSITIONS angstrom
Tl 4.192 2.420 3.319
Hg 6.288 3.630 6.491
Au 2.096 1.210 4.947
Au 2.096 1.210 1.591
```

---

The following is a DFT calculation (PBE) of crystalline Tl8Hg3Au at its relaxed geometry. Values from VASP.

## Properties
Calculated volume: 31.80 A^3/atom
Energy relative to the elements: 0.0407 eV/atom
SG: Cm, No. 8
DFT total energy: -22.6 eV for the cell shown
Magnetization: 0.00 μB/cell

Structure (Quantum ESPRESSO input):
```
&SYSTEM
  ibrav = 0, nat = 12, ntyp = 3
/
ATOMIC_SPECIES
Tl 204.38 Tl.upf
Hg 200.59 Hg.upf
Au 196.97 Au.upf
CELL_PARAMETERS angstrom
9.968 0.000 0.161
-5.699 4.663 4.013
-1.431 0.000 8.187
ATOMIC_POSITIONS angstrom
Tl 0.969 0.000 4.483
Tl 0.166 2.861 6.581
Tl 5.866 1.802 2.568
Tl 4.948 0.000 7.810
Tl 7.307 0.000 5.547
Tl 3.376 2.979 4.930
Tl -2.323 1.684 8.943
Tl 2.715 0.000 1.532
Hg 2.917 2.297 7.979
Hg -1.351 2.365 3.805
Hg 4.211 0.000 4.687
Au -0.376 0.000 7.276
```

---

The following is a DFT calculation (PBE) of crystalline Tl3Hg2Au at its relaxed geometry. Values from VASP.

## Properties
Calculated volume: 27.61 A^3/atom
Energy relative to the elements: -0.0160 eV/atom
SG: Cmmm, No. 65
DFT total energy: -22.2 eV for the cell shown
Magnetization: 0.00 μB/cell

Structure (Quantum ESPRESSO input):
```
&SYSTEM
  ibrav = 0, nat = 12, ntyp = 3
/
ATOMIC_SPECIES
Tl 204.38 Tl.upf
Hg 200.59 Hg.upf
Au 196.97 Au.upf
CELL_PARAMETERS angstrom
7.821 0.000 0.000
0.000 8.189 -2.117
0.000 -5.344 6.555
ATOMIC_POSITIONS angstrom
Tl 3.673 -3.320 5.258
Tl 7.583 -3.320 5.258
Tl 3.675 1.422 2.219
Tl 7.585 1.422 2.219
Tl 7.583 6.164 -0.819
Tl 3.673 6.164 -0.819
Hg 5.628 -0.959 3.745
Hg 1.718 -0.959 3.745
Hg 1.718 3.804 0.693
Hg 5.628 3.804 0.693
Au 5.628 0.000 0.000
Au 1.717 0.000 0.000
```